[1]
# YHg6Pb

A relaxed structure of YHg6Pb (PBE, Alexandria).

Cell and atoms, written as CIF:
```
data_YHg6Pb
_chemical_formula_sum 'Y1 Hg6 Pb1'
_cell_length_a 4.699
_cell_length_b 4.699
_cell_length_c 9.263
_cell_angle_alpha 90.00
_cell_angle_beta 90.00
_cell_angle_gamma 90.00
_space_group_name_H-M_alt 'P 4/m m m'
_space_group_IT_number 123
_space_group_name_Hall '-P 4 2'
loop_
_atom_site_label
_atom_site_type_symbol
_atom_site_fract_x
_atom_site_fract_y
_atom_site_fract_z
_atom_site_occupancy
Y1 Y 0.000 0.000 0.000 1
Hg1 Hg 0.000 0.500 0.242 1
Hg2 Hg 0.500 0.500 0.000 1
Hg3 Hg 0.500 0.500 0.500 1
Pb1 Pb 0.000 0.000 0.500 1
```

[2]
# Ac2Hg7 | Alexandria | PBE | relaxed
data_Ac2Hg7
_chemical_formula_sum 'Ac2 Hg7'
_cell_length_a 5.3790
_cell_length_b 5.3790
_cell_length_c 9.9977
_cell_angle_alpha 90.00
_cell_angle_beta 90.00
_cell_angle_gamma 120.00
_space_group_name_H-M_alt 'P -3 m 1'
_space_group_IT_number 164
_space_group_name_Hall '-P 3 2"'
loop_
_atom_site_label
_atom_site_type_symbol
_atom_site_fract_x
_atom_site_fract_y
_atom_site_fract_z
_atom_site_occupancy
Ac1 Ac 0.3333 0.6667 0.2647 1
Hg1 Hg 0.0000 0.0000 0.1494 1
Hg2 Hg 0.0000 0.0000 0.5000 1
Hg3 Hg 0.3333 0.6667 0.5976 1
Hg4 Hg 0.3333 0.6667 0.9183 1
# polymorph energy (0 for the lowest one) = 0 meV/atom

[3]
# K2AgHg

A relaxed structure of K2AgHg (PBE, Alexandria).

Cell and atoms, written as CIF:
```
data_K2AgHg
_chemical_formula_sum 'K4 Ag2 Hg2'
_cell_length_a 6.765
_cell_length_b 4.924
_cell_length_c 9.663
_cell_angle_alpha 90.00
_cell_angle_beta 109.60
_cell_angle_gamma 90.00
_space_group_name_H-M_alt 'P 1 21/m 1'
_space_group_IT_number 11
loop_
_space_group_symop_operation_xyz
'x,y,z'
'-x,-y,-z'
'-x,y+1/2,-z'
'x,-y+1/2,z'
loop_
_atom_site_label
_atom_site_type_symbol
_atom_site_fract_x
_atom_site_fract_y
_atom_site_fract_z
_atom_site_occupancy
K1 K 0.212 0.250 0.427 1
K2 K 0.277 0.750 0.071 1
Ag1 Ag 0.160 0.250 0.782 1
Hg1 Hg 0.349 0.750 0.719 1
```

no.,E (eV/f.u.)
1,-13.23
2,-13.64
3,-5.87